First-principles (PBE+U) data for an optimized crystal structure of K2TlCrF6, as listed in Alexandria.

Calculated values
The raw total energy comes out at -4.9761 eV/atom.

Cell and atoms, written as extended XYZ:
```
20
Lattice="6.2308 0.0000 0.0000 0.0000 6.5161 0.0000 -6.2080 0.0000 8.8915" Properties=species:S:1:pos:R:3 pbc="T T T"
K -0.0886 0.3136 2.1815
K -3.1926 2.9445 6.6273
K 3.2155 3.5716 2.2643
K 0.1115 6.2026 6.7100
Tl -3.1040 0.0000 4.4458
Tl 0.0000 3.2581 0.0000
Cr 3.1154 0.0000 0.0000
Cr 0.0114 3.2581 4.4458
F -4.6869 1.0773 8.5179
F -1.5829 2.1807 4.0721
F -0.9423 4.8511 3.7941
F -4.0463 4.9231 8.2399
F -2.4351 0.3827 7.0833
F 0.6689 2.8754 2.6375
F -0.6461 3.6407 6.2540
F 2.4579 6.1335 1.8083
F 4.0692 1.5930 0.6516
F 0.9652 1.6650 5.0974
F 1.6058 4.3354 4.8194
F 4.7098 5.4388 0.3737
```